# 1
Material: YCdSb
Method: DFT, GGA-PBE
State: optimized geometry

The structure belongs to space group Fmm2 (No. 42); the cell edges are 5.035, 5.887 and 10.811 Å and the angles 90.00°, 90.00° and 90.00°. The inequivalent atoms are Y at (0.000, 0.000, 0.000), Cd at (0.000, 0.000, 0.678) and Sb at (0.000, 0.000, 0.332).

As for the raw total energy: -4.236 eV per atom. For the distance to the lowest polymorph of the same formula, the calculation gives 69.5 meV/atom. Its formation energy without anion corrections is -0.402 eV/atom. The magnetic moment comes out at 0.0 μB per formula unit.

***

# 2
Material: Y2CdSb
Method: DFT, GGA-PBE
State: optimized geometry

The structure belongs to space group I4/mmm (No. 139); the cell edges are 4.883, 4.883 and 8.867 Å and the angles 90.00°, 90.00° and 90.00°. The inequivalent atoms are Y at (0.000, 0.500, 0.250), Cd at (0.000, 0.000, 0.000) and Sb at (0.000, 0.000, 0.500).

As for the raw total energy: -5.064 eV per atom. For the distance to the lowest polymorph of the same formula, the calculation gives 64.9 meV/atom. Its formation energy without anion corrections is -0.573 eV/atom. The magnetic moment comes out at 0.9 μB per formula unit.

***

Q: Among the records above, which one has the highest raw total energy?
A: YCdSb

***

Q: Among the records above, which one has the highest raw total energy?
A: YCdSb

***

Q: Number 2 is which compound?
A: Y2CdSb